1.
## Nd2Pd3 (PBE)

Data for a relaxed Nd2Pd3 crystal.

a b c (Å): 7.1894 7.1894 7.1894
angles (deg): 36.67 36.67 36.67
Closest atoms and distances in Å follow each position.
Sites, in units of the cell vectors:
Nd 0.0896 0.0896 0.0896  9 Pd 3.00-3.36
Nd 0.9104 0.9104 0.9104  9 Pd 3.00-3.36
Pd 0.3491 0.3491 0.3491  3 Pd 2.69, 3 Nd 3.00
Pd 0.5000 0.5000 0.5000  2 Pd 3.03, 6 Nd 3.04
Pd 0.6509 0.6509 0.6509  3 Pd 2.69, 3 Nd 3.00

Summary:
- Spin magnetization: 0.000 μB/cell
- Formation enthalpy at 0 K: -0.699 eV/atom
- Total DFT energy (no corrections): -0.21027 Ha/atom
- ρ: 8.50 Mg/m³


2.
## Y2IrI2 (PBE)

Data for a relaxed Y2IrI2 crystal.

a b c (Å): 8.0552 8.0552 8.0552
angles (deg): 147.05 147.05 47.29
Closest atoms and distances in Å follow each position.
Sites, in units of the cell vectors:
Y 0.1062 0.1062 0.0000  4 I 3.12, 1 Y 3.13
Y 0.8938 0.8938 0.0000  4 I 3.12, 1 Y 3.13
Ir 0.5000 0.5000 0.0000  8 Y 3.59
I 0.2500 0.7500 0.5000  4 Y 3.12, 4 I 3.23
I 0.7500 0.2500 0.5000  4 Y 3.12, 4 I 3.23

Summary:
- Spin magnetization: 0.000 μB/cell
- Total DFT energy (no corrections): -0.17679 Ha/atom
- Energy relative to the elements, uncorrected: 16.1 kJ/mol of atoms
- ρ: 6.73 Mg/m³